# 1
The following is a PBE-GGA calculation of a relaxed La6Sn2HN crystal, from the Alexandria database.

abc: 7.199 7.199 10.209
angles: 90.00 90.00 90.00
Space group I4/mmm (No. 139)
Unique sites:
La 0.000 0.000 0.244 x4
La 0.245 0.245 0.000 x8
Sn 0.000 0.500 0.250 x4
H 0.000 0.000 0.500 x2
N 0.000 0.000 0.000 x2

- total magnetization (μB per formula unit) = 0.0
- crystal system = tetragonal
- final energy (eV per atom) = -5.70

=====

# 2
The following is a PBE-GGA calculation of a relaxed NaPmBi2O4 crystal, from the Alexandria database.

abc: 4.825 4.825 11.926
angles: 90.00 90.00 90.00
Space group I-4m2 (No. 119)
Unique sites:
Na 0.000 0.000 0.000 x2
Pm 0.000 0.500 0.750 x2
Bi 0.000 0.000 0.500 x2
Bi 0.000 0.500 0.250 x2
O 0.000 0.000 0.279 x4
O 0.000 0.500 0.555 x4

- total magnetization (μB per formula unit) = 0.0
- energy relative to the elements, uncorrected (eV per formula unit) = -12.53
- crystal system = tetragonal

=====

Question: Look up the total magnetization of the first one.
Answer: 0.0 μB per formula unit